Computed, not measured: an optimized crystal structure of BaCaY2Ir at the PBE level of DFT.

Computed properties:
ΔE_f = -0.3040 eV/atom

Unit cell a=5.4958 b=5.4958 c=5.8703 alpha=90.00 beta=90.00 gamma=90.00
Last column: nearest neighbours and their distance in Å.
Space group P4/mmm (No. 123)
One atom of each set of equivalent atoms:
Ba1 0.0000 0.0000 0.0000  4 Ca 3.89, 8 Y 4.02
Ca1 0.5000 0.5000 0.0000  2 Ir 2.94
Y1 0.0000 0.5000 0.5000  2 Ir 2.75
Ir1 0.5000 0.5000 0.5000  4 Y 2.75, 2 Ca 2.94